No. 1
{
  "formula": "Ac2AlGa5",
  "functional": "PBE",
  "state": "relaxed",
  "magmom_total_mub_per_cell": 0.000,
  "e_tot_ev_per_cell": -30.30,
  "ef_kj_per_mol_atoms": -38.6,
  "dos_at_fermi_per_ev_cell": 2.72,
  "cell": [[6.609, -0.080, -0.114], [-3.324, 5.713, 0.114], [-3.324, -1.837, 5.411]],
  "species": ["Ac", "Ac", "Al", "Ga", "Ga", "Ga", "Ga", "Ga"],
  "frac_coords": [[0.500, 0.240, 0.740], [0.500, 0.740, 0.240], [0.000, 0.998, 0.998], [0.406, 0.694, 0.694], [0.000, 0.694, 0.288], [0.000, 0.288, 0.694], [0.594, 0.288, 0.288], [0.000, 0.281, 0.281]]
}

No. 2
{
  "formula": "K3TlCu2Cl8",
  "functional": "PBE",
  "state": "relaxed",
  "magmom_total_mub_per_cell": 0.060,
  "e_tot_ev_per_cell": -45.05,
  "dos_at_fermi_per_ev_cell": 14.58,
  "cell": [[7.371, 0.000, 0.000], [-3.685, 6.383, 0.000], [0.000, 0.000, 8.976]],
  "species": ["K", "K", "K", "Tl", "Cu", "Cu", "Cl", "Cl", "Cl", "Cl", "Cl", "Cl", "Cl", "Cl"],
  "frac_coords": [[0.333, 0.667, 0.615], [0.667, 0.333, 0.385], [0.000, 0.000, 0.000], [0.000, 0.000, 0.500], [0.333, 0.667, 0.190], [0.667, 0.333, 0.810], [0.333, 0.667, 0.948], [0.667, 0.333, 0.052], [0.173, 0.827, 0.314], [0.827, 0.173, 0.686], [0.173, 0.346, 0.314], [0.827, 0.654, 0.686], [0.654, 0.827, 0.314], [0.346, 0.173, 0.686]]
}

No. 3
{
  "formula": "Sn2GeSb2",
  "functional": "PBE",
  "state": "relaxed",
  "magmom_total_mub_per_cell": 0.000,
  "e_tot_ev_per_cell": -19.24,
  "dos_at_fermi_per_ev_cell": 3.57,
  "relative_energy_mev_per_atom": 115.1,
  "cell": [[-1.453, 1.966, -3.361], [-0.330, -3.637, -1.984], [-8.736, -1.700, 0.214]],
  "species": ["Sb", "Sb", "Ge", "Sn", "Sn"],
  "frac_coords": [[0.750, 0.250, 0.500], [0.250, 0.750, 0.500], [0.000, 0.000, 0.000], [0.410, 0.410, 0.181], [0.590, 0.590, 0.819]]
}

No. 4
{
  "formula": "SrNb2W2",
  "functional": "PBE",
  "state": "relaxed",
  "magmom_total_mub_per_cell": 0.000,
  "e_tot_ev_per_cell": -89.02,
  "ef_kj_per_mol_atoms": 62.1,
  "dos_at_fermi_per_ev_cell": 8.17,
  "relative_energy_mev_per_atom": 0.0,
  "cell": [[8.232, 0.000, 0.000], [0.000, 8.232, 0.000], [0.000, 0.000, 3.126]],
  "species": ["Sr", "Sr", "Nb", "Nb", "Nb", "Nb", "W", "W", "W", "W"],
  "frac_coords": [[0.000, 0.000, 0.000], [0.500, 0.500, 0.000], [0.139, 0.639, 0.500], [0.639, 0.861, 0.500], [0.861, 0.361, 0.500], [0.361, 0.139, 0.500], [0.367, 0.867, 0.000], [0.867, 0.633, 0.000], [0.633, 0.133, 0.000], [0.133, 0.367, 0.000]]
}

No. 5
{
  "formula": "CaGe2BPd",
  "functional": "PBE",
  "state": "relaxed",
  "magmom_total_mub_per_cell": 0.000,
  "e_tot_ev_per_cell": -19.51,
  "ef_kj_per_mol_atoms": 69.5,
  "dos_at_fermi_per_ev_cell": 4.56,
  "cell": [[-1.489, 0.456, -4.457], [-3.503, -4.063, 0.754], [-3.279, 3.089, 1.412]],
  "species": ["Ge", "Ge", "B", "Ca", "Pd"],
  "frac_coords": [[0.000, 0.000, 0.500], [0.500, 0.000, 0.000], [0.500, 0.500, 0.500], [0.000, 0.500, 0.000], [0.000, 0.000, 0.000]]
}